[1]
Entry from the Alexandria database: crystalline K2CuTc at its relaxed geometry (PBE).

Calculated values
The symmetry is P4/mmm, No. 123. For the formation energy from the elements, the calculation gives 5.23 eV per formula unit. As for the distance to the lowest polymorph of the same formula: 0.4914 eV per atom.

a = 4.2217 Å, b = 4.2217 Å, c = 5.5207 Å
α = 90.00°, β = 90.00°, γ = 90.00°
Closest atoms and distances in Å follow each position.
Fractional positions:
K 0.0000 0.5000 0.0000  4 K 2.99
K 0.5000 0.0000 0.0000  4 K 2.99
Cu 0.0000 0.0000 0.5000  4 Tc 2.99
Tc 0.5000 0.5000 0.5000  4 Cu 2.99

[2]
Entry from the Alexandria database: crystalline SmScAg4 at its relaxed geometry (PBE).

Calculated values
The symmetry is C2/m, No. 12. For the formation energy from the elements, the calculation gives -1.55 eV per formula unit. As for the distance to the lowest polymorph of the same formula: 0.0073 eV per atom.

a = 5.2417 Å, b = 9.1958 Å, c = 5.2176 Å
α = 90.00°, β = 90.19°, γ = 90.00°
Closest atoms and distances in Å follow each position.
Fractional positions:
Sm 0.0000 0.0000 0.0000  10 Ag 3.03-3.08
Sm 0.5000 0.5000 0.0000  10 Ag 3.03-3.08
Sc 0.0000 0.5000 0.5000  10 Ag 2.99-3.08
Sc 0.5000 0.0000 0.5000  10 Ag 2.99-3.08
Ag 0.0000 0.1751 0.5000  5 Ag 2.96-3.22, 3 Sc 2.99-3.08, 2 Sm 3.07
Ag 0.0000 0.3350 0.0000  5 Ag 2.99-3.05, 2 Sc 3.02, 3 Sm 3.03-3.08
Ag 0.0000 0.6650 0.0000  5 Ag 2.99-3.05, 2 Sc 3.02, 3 Sm 3.03-3.08
Ag 0.0000 0.8249 0.5000  5 Ag 2.96-3.22, 3 Sc 2.99-3.08, 2 Sm 3.07
Ag 0.5000 0.1650 0.0000  5 Ag 2.99-3.05, 2 Sc 3.02, 3 Sm 3.03-3.08
Ag 0.5000 0.3249 0.5000  5 Ag 2.96-3.22, 3 Sc 2.99-3.08, 2 Sm 3.07
Ag 0.5000 0.6751 0.5000  5 Ag 2.96-3.22, 3 Sc 2.99-3.08, 2 Sm 3.07
Ag 0.5000 0.8350 0.0000  5 Ag 2.99-3.05, 2 Sc 3.02, 3 Sm 3.03-3.08

[3]
Entry from the Alexandria database: crystalline La2ScPbC at its relaxed geometry (PBE).

Calculated values
The symmetry is P4/mmm, No. 123. For the formation energy from the elements, the calculation gives -2.23 eV per formula unit.

a = 5.2675 Å, b = 5.2675 Å, c = 4.6508 Å
α = 90.00°, β = 90.00°, γ = 90.00°
Closest atoms and distances in Å follow each position.
Fractional positions:
La 0.0000 0.5000 0.0000  2 C 2.63
La 0.5000 0.0000 0.0000  2 C 2.63
Sc 0.0000 0.0000 0.5000  2 C 2.33
Pb 0.5000 0.5000 0.5000  8 La 3.51, 4 Sc 3.72
C 0.0000 0.0000 0.0000  2 Sc 2.33

[4]
Entry from the Alexandria database: crystalline Rb3UPa2Te6 at its relaxed geometry (PBE).

Calculated values
The symmetry is C2/m, No. 12. For the raw formation energy, the calculation gives -0.89 eV per atom.

a = 7.7068 Å, b = 7.7068 Å, c = 9.1602 Å
α = 98.06°, β = 98.06°, γ = 120.00°
Closest atoms and distances in Å follow each position.
Fractional positions:
Rb 0.0000 0.0000 0.0000  6 Te 3.63-3.65
Rb 0.3338 0.6662 0.0000  6 Te 3.64-3.65
Rb 0.6662 0.3338 0.0000  6 Te 3.64-3.65
U 0.5000 0.5000 0.5000  6 Te 3.16
Pa 0.1665 0.8335 0.5000  6 Te 3.14
Pa 0.8335 0.1665 0.5000  6 Te 3.14
Te 0.0961 0.4314 0.2940  2 Pa 3.14, 1 U 3.16
Te 0.2336 0.2336 0.7061  2 Pa 3.14, 1 U 3.16
Te 0.4314 0.0961 0.2940  2 Pa 3.14, 1 U 3.16
Te 0.5686 0.9039 0.7060  2 Pa 3.14, 1 U 3.16
Te 0.7664 0.7664 0.2939  2 Pa 3.14, 1 U 3.16
Te 0.9039 0.5686 0.7060  2 Pa 3.14, 1 U 3.16

[5]
Entry from the Alexandria database: crystalline CaCo2Si2 at its relaxed geometry (PBE).

Calculated values
The symmetry is P4/mbm, No. 127. For the raw formation energy, the calculation gives -0.31 eV per atom.

a = 7.1285 Å, b = 7.1285 Å, c = 2.6405 Å
α = 90.00°, β = 90.00°, γ = 90.00°
Closest atoms and distances in Å follow each position.
Fractional positions:
Ca 0.0000 0.0000 0.0000  2 Ca 2.64, 4 Co 2.77
Ca 0.5000 0.5000 0.0000  2 Ca 2.64, 4 Co 2.77
Co 0.1370 0.3630 0.0000  6 Si 2.43-2.53, 2 Co 2.64
Co 0.3630 0.8630 0.0000  6 Si 2.43-2.53, 2 Co 2.64
Co 0.6370 0.1370 0.0000  6 Si 2.43-2.53, 2 Co 2.64
Co 0.8630 0.6370 0.0000  6 Si 2.43-2.53, 2 Co 2.64
Si 0.1491 0.6491 0.5000  6 Co 2.43-2.53, 2 Si 2.64
Si 0.3509 0.1491 0.5000  6 Co 2.43-2.53, 2 Si 2.64
Si 0.6491 0.8509 0.5000  6 Co 2.43-2.53, 2 Si 2.64
Si 0.8509 0.3509 0.5000  6 Co 2.43-2.53, 2 Si 2.64

[6]
Entry from the Alexandria database: crystalline LiRhW at its relaxed geometry (PBE).

Calculated values
The symmetry is F-43m, No. 216. For the formation energy from the elements, the calculation gives 2.18 eV per formula unit. As for the distance to the lowest polymorph of the same formula: 0.6150 eV per atom.

a = 5.8488 Å, b = 5.8488 Å, c = 5.8488 Å
α = 90.00°, β = 90.00°, γ = 90.00°
Closest atoms and distances in Å follow each position.
Fractional positions:
Li 0.0000 0.0000 0.0000  4 W 2.53
Li 0.0000 0.5000 0.5000  4 W 2.53
Li 0.5000 0.0000 0.5000  4 W 2.53
Li 0.5000 0.5000 0.0000  4 W 2.53
Rh 0.0000 0.0000 0.5000  4 W 2.53
Rh 0.0000 0.5000 0.0000  4 W 2.53
Rh 0.5000 0.0000 0.0000  4 W 2.53
Rh 0.5000 0.5000 0.5000  4 W 2.53
W 0.2500 0.2500 0.7500  4 Li 2.53, 4 Rh 2.53
W 0.2500 0.7500 0.2500  4 Li 2.53, 4 Rh 2.53
W 0.7500 0.2500 0.2500  4 Li 2.53, 4 Rh 2.53
W 0.7500 0.7500 0.7500  4 Li 2.53, 4 Rh 2.53

[7]
Entry from the Alexandria database: crystalline CoNiPt at its relaxed geometry (PBE).

Calculated values
The symmetry is P-6m2, No. 187. For the formation energy from the elements, the calculation gives -0.05 eV per formula unit. As for the distance to the lowest polymorph of the same formula: 0.0693 eV per atom.

a = 4.1056 Å, b = 4.1056 Å, c = 2.6378 Å
α = 90.00°, β = 90.00°, γ = 120.00°
Closest atoms and distances in Å follow each position.
Fractional positions:
Co 0.0000 0.0000 0.0000  3 Ni 2.37, 2 Co 2.64
Ni 0.3333 0.6667 0.0000  3 Co 2.37, 2 Ni 2.64
Pt 0.6667 0.3333 0.5000  2 Pt 2.64, 6 Co 2.71, 6 Ni 2.71

[8]
Entry from the Alexandria database: crystalline Ce3ErS4 at its relaxed geometry (PBE).

Calculated values
The symmetry is Cmmm, No. 65. For the raw formation energy, the calculation gives -2.03 eV per atom.

a = 7.9789 Å, b = 11.2592 Å, c = 3.9714 Å
α = 90.00°, β = 90.00°, γ = 90.00°
Closest atoms and distances in Å follow each position.
Fractional positions:
Ce 0.0000 0.0000 0.0000  6 S 2.87-2.88
Ce 0.2500 0.2500 0.5000  6 S 2.82
Ce 0.2500 0.7500 0.5000  6 S 2.82
Ce 0.5000 0.5000 0.0000  6 S 2.87-2.88
Ce 0.7500 0.2500 0.5000  6 S 2.82
Ce 0.7500 0.7500 0.5000  6 S 2.82
Er 0.0000 0.5000 0.0000  6 S 2.75-2.76
Er 0.5000 0.0000 0.0000  6 S 2.75-2.76
S 0.0000 0.2555 0.0000  1 Er 2.75, 5 Ce 2.82-2.88
S 0.0000 0.7445 0.0000  1 Er 2.75, 5 Ce 2.82-2.88
S 0.2396 0.5000 0.5000  2 Er 2.76, 4 Ce 2.82-2.87
S 0.2604 0.0000 0.5000  2 Er 2.76, 4 Ce 2.82-2.87
S 0.5000 0.2445 0.0000  1 Er 2.75, 5 Ce 2.82-2.88
S 0.5000 0.7555 0.0000  1 Er 2.75, 5 Ce 2.82-2.88
S 0.7396 0.0000 0.5000  2 Er 2.76, 4 Ce 2.82-2.87
S 0.7604 0.5000 0.5000  2 Er 2.76, 4 Ce 2.82-2.87

[9]
Entry from the Alexandria database: crystalline KYSnSe3 at its relaxed geometry (PBE).

Calculated values
The symmetry is Cmcm, No. 63. For the raw formation energy, the calculation gives -1.18 eV per atom.

a = 8.7001 Å, b = 8.7001 Å, c = 11.8507 Å
α = 90.00°, β = 90.00°, γ = 152.61°
Closest atoms and distances in Å follow each position.
Fractional positions:
K 0.1769 0.8231 0.7500  2 Se 3.17
K 0.8231 0.1769 0.2500  2 Se 3.17
Y 0.5000 0.5000 0.0000  6 Se 2.85-2.97
Y 0.5000 0.5000 0.5000  6 Se 2.85-2.97
Sn 0.1190 0.8810 0.2500  4 Se 2.78-2.92
Sn 0.8810 0.1190 0.7500  4 Se 2.78-2.92
Se 0.1163 0.8837 0.0033  2 Y 2.85, 1 Sn 2.92, 1 K 3.17
Se 0.1163 0.8837 0.4967  2 Y 2.85, 1 Sn 2.92, 1 K 3.17
Se 0.4917 0.5083 0.7500  2 Sn 2.78, 2 Y 2.97
Se 0.5083 0.4917 0.2500  2 Sn 2.78, 2 Y 2.97
Se 0.8837 0.1163 0.5033  2 Y 2.85, 1 Sn 2.92, 1 K 3.17
Se 0.8837 0.1163 0.9967  2 Y 2.85, 1 Sn 2.92, 1 K 3.17

[10]
Entry from the Alexandria database: crystalline K2TaB at its relaxed geometry (PBE).

Calculated values
The symmetry is I-42d, No. 122. For the formation energy from the elements, the calculation gives 5.20 eV per formula unit.

a = 12.4060 Å, b = 12.4060 Å, c = 4.3539 Å
α = 90.00°, β = 90.00°, γ = 90.00°
Closest atoms and distances in Å follow each position.
Fractional positions:
K 0.0508 0.2500 0.1250  2 B 3.21, 2 Ta 3.56
K 0.2500 0.5508 0.3750  2 B 3.21, 2 Ta 3.56
K 0.2500 0.9492 0.8750  2 B 3.21, 2 Ta 3.56
K 0.4492 0.2500 0.6250  2 B 3.21, 2 Ta 3.56
K 0.5508 0.7500 0.6250  2 B 3.21, 2 Ta 3.56
K 0.7500 0.0508 0.8750  2 B 3.21, 2 Ta 3.56
K 0.7500 0.4492 0.3750  2 B 3.21, 2 Ta 3.56
K 0.9492 0.7500 0.1250  2 B 3.21, 2 Ta 3.56
Ta 0.0000 0.0000 0.5000  2 B 2.18
Ta 0.0000 0.5000 0.7500  2 B 2.18
Ta 0.5000 0.0000 0.2500  2 B 2.18
Ta 0.5000 0.5000 0.0000  2 B 2.18
B 0.0000 0.0000 0.0000  2 Ta 2.18
B 0.0000 0.5000 0.2500  2 Ta 2.18
B 0.5000 0.0000 0.7500  2 Ta 2.18
B 0.5000 0.5000 0.5000  2 Ta 2.18

[11]
Entry from the Alexandria database: crystalline LiSi2AsO6 at its relaxed geometry (PBE).

Calculated values
The symmetry is C2/c, No. 15. For the raw formation energy, the calculation gives -2.27 eV per atom.

a = 6.7285 Å, b = 6.7285 Å, c = 5.3216 Å
α = 102.98°, β = 102.98°, γ = 83.92°
Closest atoms and distances in Å follow each position.
Fractional positions:
Li 0.1148 0.8852 0.7500  4 O 2.02-2.10
Li 0.8852 0.1148 0.2500  4 O 2.02-2.10
Si 0.1857 0.3767 0.7655  4 O 1.62-1.67
Si 0.3767 0.1857 0.2655  4 O 1.62-1.67
Si 0.6233 0.8143 0.7345  4 O 1.62-1.67
Si 0.8143 0.6233 0.2345  4 O 1.62-1.67
As 0.2607 0.7393 0.2500  2 O 1.86
As 0.7393 0.2607 0.7500  2 O 1.86
O 0.0079 0.7777 0.3451  1 Si 1.67, 1 As 1.86
O 0.1193 0.6159 0.8604  1 Si 1.62
O 0.2223 0.9921 0.1549  1 Si 1.67, 1 As 1.86
O 0.2993 0.3443 0.5147  2 Si 1.64-1.65
O 0.3443 0.2993 0.0147  2 Si 1.64-1.65
O 0.3841 0.8807 0.6396  1 Si 1.62
O 0.6159 0.1193 0.3604  1 Si 1.62
O 0.6557 0.7007 0.9853  2 Si 1.64-1.65
O 0.7007 0.6557 0.4853  2 Si 1.64-1.65
O 0.7777 0.0079 0.8451  1 Si 1.67, 1 As 1.86
O 0.8807 0.3841 0.1396  1 Si 1.62
O 0.9921 0.2223 0.6549  1 Si 1.67, 1 As 1.86

[12]
Entry from the Alexandria database: crystalline AlTlHg at its relaxed geometry (PBE).

Calculated values
The symmetry is P2_1/m, No. 11. For the formation energy from the elements, the calculation gives 0.29 eV per formula unit.

a = 4.9621 Å, b = 4.4163 Å, c = 7.1575 Å
α = 90.00°, β = 93.19°, γ = 90.00°
Closest atoms and distances in Å follow each position.
Fractional positions:
Al 0.1610 0.2500 0.0200  4 Hg 2.72-2.86, 2 Al 2.73
Al 0.8390 0.7500 0.9800  4 Hg 2.72-2.86, 2 Al 2.73
Tl 0.2240 0.7500 0.3623  3 Hg 3.18-3.36, 3 Al 3.25-3.30
Tl 0.7760 0.2500 0.6377  3 Hg 3.18-3.36, 3 Al 3.25-3.30
Hg 0.3384 0.7500 0.8045  4 Al 2.72-2.86
Hg 0.6616 0.2500 0.1955  4 Al 2.72-2.86

Number 1: total DFT energy (no corrections) -2.86 eV per atom, density 4.0 g cm⁻³. Number 2: total DFT energy (no corrections) -4.00 eV per atom, density 8.3 g cm⁻³. Number 3: total DFT energy (no corrections) -6.27 eV per atom, density 7.0 g cm⁻³. Number 4: total DFT energy (no corrections) -5.22 eV per atom, density 6.3 g cm⁻³. Number 5: total DFT energy (no corrections) -5.72 eV per atom, density 5.3 g cm⁻³. Number 6: total DFT energy (no corrections) -6.68 eV per atom, density 9.7 g cm⁻³. Number 7: total DFT energy (no corrections) -6.33 eV per atom, density 13.5 g cm⁻³. Number 8: total DFT energy (no corrections) -6.89 eV per atom, density 6.7 g cm⁻³. Number 9: total DFT energy (no corrections) -4.85 eV per atom, density 3.9 g cm⁻³. Number 10: total DFT energy (no corrections) -3.88 eV per atom, density 2.7 g cm⁻³. Number 11: total DFT energy (no corrections) -6.99 eV per atom, density 3.4 g cm⁻³. Number 12: total DFT energy (no corrections) -2.04 eV per atom, density 9.2 g cm⁻³.